1.
5
Lattice="3.814 0.000 0.000 0.000 3.814 0.000 0.000 0.000 5.480" Properties=species:S:1:pos:R:3 comment="ZnPdSN2 | Alexandria via LeMat-Bulk | GGA-PBE | relaxed" dft_energy_ev_per_atom=-4.102 relative_energy_mev_per_atom=0.0 mass_density_g_cm3=4.83 pbc="T T T"
Zn 1.907 1.907 2.740
S 0.000 0.000 2.740
Pd 0.000 0.000 0.000
N 0.000 1.907 0.000
N 1.907 0.000 0.000



2.
5
Lattice="-3.513 1.813 2.652 2.508 -0.909 3.943 1.592 3.414 -0.225" Properties=species:S:1:pos:R:3 comment="ZrPdS2N | Alexandria via LeMat-Bulk | GGA-PBE | relaxed" dft_energy_ev_per_atom=-5.733 relative_energy_mev_per_atom=88.1 mass_density_g_cm3=5.35 pbc="T T T"
S 1.254 -0.455 1.971
S -1.756 0.906 1.326
Zr 0.293 2.159 3.185
Pd 0.000 0.000 0.000
N 0.796 1.707 -0.113



3.
5
Lattice="-2.856 0.469 -4.122 1.872 -4.320 -1.789 -2.996 -2.060 1.841" Properties=species:S:1:pos:R:3 comment="ZrPdS2N | Alexandria via LeMat-Bulk | GGA-PBE | relaxed" dft_energy_ev_per_atom=-5.821 relative_energy_mev_per_atom=0.0 mass_density_g_cm3=4.43 pbc="T T T"
S 0.936 -2.160 -0.894
S -1.428 0.235 -2.061
Zr 0.000 0.000 0.000
Pd -1.990 -2.956 -2.035
N -1.498 -1.030 0.921



4.
5
Lattice="-2.748 -2.940 0.915 2.473 -2.838 -1.692 2.339 -0.737 4.655" Properties=species:S:1:pos:R:3 comment="ZrPdSN2 | Alexandria via LeMat-Bulk | GGA-PBE | relaxed" dft_energy_ev_per_atom=-6.293 relative_energy_mev_per_atom=0.0 mass_density_g_cm3=4.78 pbc="T T T"
S 1.170 -0.369 2.328
Zr 0.000 0.000 0.000
Pd 1.032 -3.258 1.939
N 1.237 -1.419 -0.846
N -1.374 -1.470 0.458



5.
5
Lattice="3.974 0.000 0.000 0.000 3.974 0.000 0.000 0.000 4.537" Properties=species:S:1:pos:R:3 comment="ZrPdSN2 | Alexandria via LeMat-Bulk | GGA-PBE | relaxed" dft_energy_ev_per_atom=-6.144 relative_energy_mev_per_atom=148.8 mass_density_g_cm3=5.97 pbc="T T T"
S 0.000 0.000 2.268
Zr 1.987 1.987 2.268
Pd 0.000 0.000 0.000
N 0.000 1.987 0.000
N 1.987 0.000 0.000



6.
6
Lattice="-9.819 -0.197 -1.925 -9.748 -4.806 -1.782 11.100 2.565 5.514" Properties=species:S:1:pos:R:3 comment="SbPdN | Alexandria via LeMat-Bulk | GGA-PBE | relaxed" dft_energy_ev_per_atom=-5.942 relative_energy_mev_per_atom=0.0 mass_density_g_cm3=5.22 pbc="T T T"
Sb -7.068 -2.269 1.061
Sb -5.683 0.014 -0.871
Pd 1.653 0.185 1.955
Pd -4.586 -2.243 0.159
N -1.360 0.144 3.044
N -0.292 0.166 2.660



In the order shown, the computed E_form (uncorrected) values come out to 1347; 331; 243; 611; 760; -62 meV/atom.